[1]
An optimized crystal structure of InGa4Sn2, computed with GGA-PBE.

```
InGa4Sn2
1.0
0.332 -2.474 -5.453
2.340 -5.557 2.663
-8.890 0.155 -0.022
Sn Ga In
4 8 2
Direct
0.171 0.786 0.364 Sn
0.329 0.423 0.636 Sn
0.829 0.214 0.636 Sn
0.671 0.577 0.364 Sn
0.752 0.812 0.157 Ga
0.748 0.655 0.843 Ga
0.248 0.188 0.843 Ga
0.252 0.345 0.157 Ga
0.968 0.204 0.325 Ga
0.532 0.880 0.675 Ga
0.032 0.796 0.675 Ga
0.468 0.120 0.325 Ga
0.750 0.228 0.000 In
0.250 0.772 0.000 In
```

Computed properties:
The value obtained for the uncorrected energy is -3.22 eV per atom. As for the density of states at the Fermi level: 2.58 states/eV/f.u. For the energy of formation from the pure elements, the calculation gives 41 meV/atom. The value obtained for the volume is 23.3 Å³/atom.

=====

[2]
An optimized crystal structure of In12GaSn6, computed with GGA-PBE.

```
In12GaSn6
1.0
8.815 -0.346 -0.487
-2.520 8.454 -0.487
-2.520 -3.246 7.821
In Ga Sn
12 1 6
Direct
0.883 0.117 0.500 In
0.939 0.694 0.694 In
0.694 0.694 0.939 In
0.306 0.061 0.306 In
0.306 0.306 0.061 In
0.061 0.306 0.306 In
0.117 0.500 0.883 In
0.500 0.883 0.117 In
0.117 0.883 0.500 In
0.883 0.500 0.117 In
0.500 0.117 0.883 In
0.694 0.939 0.694 In
0.000 0.000 0.000 Ga
0.691 0.315 0.315 Sn
0.315 0.315 0.691 Sn
0.315 0.691 0.315 Sn
0.685 0.685 0.309 Sn
0.309 0.685 0.685 Sn
0.685 0.309 0.685 Sn
```

Computed properties:
The value obtained for the uncorrected energy is -3.08 eV per atom. As for the density of states at the Fermi level: 8.45 states/eV/f.u. For the energy of formation from the pure elements, the calculation gives 72 meV/atom. The value obtained for the volume is 28.8 Å³/atom.

=====

[3]
An optimized crystal structure of InGa6Sn2, computed with GGA-PBE.

```
InGa6Sn2
1.0
4.084 0.186 -0.436
-0.665 6.352 -3.517
0.426 0.212 7.860
In Ga Sn
1 6 2
Direct
0.000 0.000 0.000 In
0.680 0.003 0.369 Ga
0.320 0.997 0.631 Ga
0.320 0.634 0.631 Ga
0.500 0.302 0.000 Ga
0.500 0.698 0.000 Ga
0.680 0.366 0.369 Ga
0.950 0.374 0.747 Sn
0.050 0.626 0.253 Sn
```

Computed properties:
The value obtained for the uncorrected energy is -3.14 eV per atom. As for the density of states at the Fermi level: 2.78 states/eV/f.u. For the energy of formation from the pure elements, the calculation gives 74 meV/atom. The value obtained for the volume is 23.2 Å³/atom.

=====

[4]
An optimized crystal structure of InGa3Sn2, computed with GGA-PBE.

```
InGa3Sn2
1.0
3.988 0.000 0.000
0.000 4.536 -1.534
0.000 0.086 7.728
In Ga Sn
1 3 2
Direct
0.000 0.000 0.000 In
0.500 0.167 0.334 Ga
0.500 0.500 0.000 Ga
0.500 0.833 0.666 Ga
0.000 0.666 0.333 Sn
0.000 0.334 0.667 Sn
```

Computed properties:
The value obtained for the uncorrected energy is -3.26 eV per atom. As for the density of states at the Fermi level: 2.42 states/eV/f.u. For the energy of formation from the pure elements, the calculation gives 46 meV/atom. The value obtained for the volume is 23.4 Å³/atom.

=====

[5]
An optimized crystal structure of In2Ga2Sn, computed with GGA-PBE.

```
In2Ga2Sn
1.0
4.971 0.000 0.000
2.486 5.660 -0.652
2.486 1.105 8.634
In Ga Sn
4 4 2
Direct
0.661 0.368 0.309 In
0.339 0.632 0.691 In
0.050 0.773 0.127 In
0.950 0.227 0.873 In
0.094 0.277 0.536 Ga
0.906 0.723 0.464 Ga
0.627 0.110 0.636 Ga
0.373 0.890 0.364 Ga
0.337 0.219 0.107 Sn
0.663 0.781 0.893 Sn
```

Computed properties:
The value obtained for the uncorrected energy is -3.07 eV per atom. As for the density of states at the Fermi level: 1.70 states/eV/f.u. For the energy of formation from the pure elements, the calculation gives 34 meV/atom. The value obtained for the volume is 24.7 Å³/atom.

=====

[6]
An optimized crystal structure of In2Ga6Sn, computed with GGA-PBE.

```
In2Ga6Sn
1.0
-2.537 -5.384 0.961
5.958 0.421 -0.824
0.805 0.746 6.302
In Ga Sn
2 6 1
Direct
0.333 0.667 0.865 In
0.667 0.333 0.135 In
0.639 0.820 0.345 Ga
0.180 0.361 0.347 Ga
0.181 0.820 0.345 Ga
0.361 0.180 0.655 Ga
0.820 0.639 0.653 Ga
0.819 0.180 0.655 Ga
0.000 0.000 0.000 Sn
```

Computed properties:
The value obtained for the uncorrected energy is -3.05 eV per atom. As for the density of states at the Fermi level: 2.20 states/eV/f.u. For the energy of formation from the pure elements, the calculation gives 25 meV/atom. The value obtained for the volume is 22.4 Å³/atom.

=====

> What is the formula in the fourth record?

InGa3Sn2

=====

> Which of these has the lowest uncorrected energy?

InGa3Sn2

=====

> What is the uncorrected energy in the fifth record?

-3.07 eV per atom